[1]
# Ta2TlInRe | Alexandria via LeMat-Bulk | PBE | relaxed
data_Ta2TlInRe
_symmetry_space_group_name_H-M 'P 4/m m m'
_symmetry_Int_Tables_number 123
_symmetry_space_group_name_Hall '-P 4 2'
_cell_length_a 5.107
_cell_length_b 5.107
_cell_length_c 4.958
_cell_angle_alpha 90.00
_cell_angle_beta 90.00
_cell_angle_gamma 90.00
loop_
_atom_site_label
_atom_site_type_symbol
_atom_site_fract_x
_atom_site_fract_y
_atom_site_fract_z
_atom_site_occupancy
Ta1 Ta 0.000 0.500 0.000 1
Tl1 Tl 0.000 0.000 0.000 1
In1 In 0.000 0.000 0.500 1
Re1 Re 0.500 0.500 0.500 1
# Energy relative to the elements (eV/f.u.): 13.52

=====

[2]
# TaVIn2Re | Alexandria via LeMat-Bulk | PBE | relaxed
data_TaVIn2Re
_symmetry_space_group_name_H-M 'P 4/m m m'
_symmetry_Int_Tables_number 123
_symmetry_space_group_name_Hall '-P 4 2'
_cell_length_a 5.247
_cell_length_b 5.247
_cell_length_c 4.775
_cell_angle_alpha 90.00
_cell_angle_beta 90.00
_cell_angle_gamma 90.00
loop_
_atom_site_label
_atom_site_type_symbol
_atom_site_fract_x
_atom_site_fract_y
_atom_site_fract_z
_atom_site_occupancy
Ta1 Ta 0.000 0.000 0.000 1
V1 V 0.500 0.500 0.500 1
In1 In 0.000 0.500 0.000 1
Re1 Re 0.000 0.000 0.500 1
# Energy relative to the elements (eV/f.u.): 9.29

=====

[3]
# Tb4InRe | Alexandria via LeMat-Bulk | PBE | relaxed
data_Tb4InRe
_symmetry_space_group_name_H-M 'C 1 2/c 1'
_symmetry_Int_Tables_number 15
_cell_length_a 8.781
_cell_length_b 13.219
_cell_length_c 6.165
_cell_angle_alpha 90.00
_cell_angle_beta 108.01
_cell_angle_gamma 90.00
loop_
_symmetry_equiv_pos_as_xyz
'x,y,z'
'-x,-y,-z'
'-x,y,-z+1/2'
'x,-y,z+1/2'
'x+1/2,y+1/2,z'
'-x+1/2,-y+1/2,-z'
'-x+1/2,y+1/2,-z+1/2'
'x+1/2,-y+1/2,z+1/2'
loop_
_atom_site_label
_atom_site_type_symbol
_atom_site_fract_x
_atom_site_fract_y
_atom_site_fract_z
_atom_site_occupancy
Tb1 Tb 0.109 0.169 0.050 1
Tb2 Tb 0.222 0.424 0.384 1
In1 In 0.000 0.376 0.750 1
Re1 Re 0.000 0.000 0.250 1
# Energy relative to the elements (eV/f.u.): -1.13

=====

[4]
# InRe2Tc2 | Alexandria via LeMat-Bulk | PBE | relaxed
data_InRe2Tc2
_symmetry_space_group_name_H-M 'I 4/m m m'
_symmetry_Int_Tables_number 139
_symmetry_space_group_name_Hall '-I 4 2'
_cell_length_a 4.159
_cell_length_b 4.159
_cell_length_c 10.638
_cell_angle_alpha 90.00
_cell_angle_beta 90.00
_cell_angle_gamma 90.00
loop_
_atom_site_label
_atom_site_type_symbol
_atom_site_fract_x
_atom_site_fract_y
_atom_site_fract_z
_atom_site_occupancy
In1 In 0.000 0.000 0.000 1
Re1 Re 0.000 0.000 0.383 1
Tc1 Tc 0.000 0.500 0.250 1
# Energy above the most stable polymorph in this dataset (meV per atom): 106
# Energy relative to the elements (eV/f.u.): 1.99

=====

[5]
# InRe2Tc | Alexandria via LeMat-Bulk | PBE | relaxed
data_InRe2Tc
_symmetry_space_group_name_H-M 'C 1 m 1'
_symmetry_Int_Tables_number 8
_cell_length_a 9.393
_cell_length_b 2.910
_cell_length_c 4.886
_cell_angle_alpha 90.00
_cell_angle_beta 102.62
_cell_angle_gamma 90.00
loop_
_symmetry_equiv_pos_as_xyz
'x,y,z'
'x,-y,z'
'x+1/2,y+1/2,z'
'x+1/2,-y+1/2,z'
loop_
_atom_site_label
_atom_site_type_symbol
_atom_site_fract_x
_atom_site_fract_y
_atom_site_fract_z
_atom_site_occupancy
In1 In 0.000 0.000 0.000 1
Re1 Re 0.236 0.000 0.702 1
Re2 Re 0.498 0.000 0.501 1
Tc1 Tc 0.263 0.500 0.266 1
# Energy relative to the elements (eV/f.u.): 1.55

=====

[6]
# InRe2Tc | Alexandria via LeMat-Bulk | PBE | relaxed
data_InRe2Tc
_symmetry_space_group_name_H-M 'C m m 2'
_symmetry_Int_Tables_number 35
_cell_length_a 2.965
_cell_length_b 4.744
_cell_length_c 9.286
_cell_angle_alpha 90.00
_cell_angle_beta 90.00
_cell_angle_gamma 90.00
loop_
_symmetry_equiv_pos_as_xyz
'x,y,z'
'-x,-y,z'
'-x,y,z'
'x,-y,z'
'x+1/2,y+1/2,z'
'-x+1/2,-y+1/2,z'
'-x+1/2,y+1/2,z'
'x+1/2,-y+1/2,z'
loop_
_atom_site_label
_atom_site_type_symbol
_atom_site_fract_x
_atom_site_fract_y
_atom_site_fract_z
_atom_site_occupancy
In1 In 0.000 0.000 0.000 1
Re1 Re 0.000 0.000 0.496 1
Re2 Re 0.000 0.500 0.732 1
Tc1 Tc 0.000 0.500 0.261 1
# Energy relative to the elements (eV/f.u.): 1.87

=====

| no. | size of the total moment (μB per formula unit) | V (Å³ per cell) |
| --- | --- | --- |
| 1 | 1.5 | 129 |
| 2 | 1.2 | 131 |
| 3 | 0.0 | 681 |
| 4 | 0.0 | 184 |
| 5 | 0.0 | 130 |
| 6 | 0.0 | 131 |